No. 1
# Ba2ScHg2

An optimized crystal structure of Ba2ScHg2 (PBE-GGA, Alexandria via LeMat-Bulk).

a = 7.920 Å, b = 7.920 Å, c = 5.602 Å
α = 90.00°, β = 90.00°, γ = 90.00°
Positions (direct):
Ba (0.174, 0.674, 0.500)
Ba (0.826, 0.326, 0.500)
Ba (0.326, 0.174, 0.500)
Ba (0.674, 0.826, 0.500)
Sc (0.000, 0.000, 0.000)
Sc (0.500, 0.500, 0.000)
Hg (0.139, 0.361, 0.000)
Hg (0.861, 0.639, 0.000)
Hg (0.361, 0.861, 0.000)
Hg (0.639, 0.139, 0.000)

Output
Calculated volume in Å³/cell: 351.4
ΔE_f in meV/atom: -213.7
Crystal system: tetragonal
Mass density in g/cm³: 6.81


No. 2
# Sm2Ga2Pd

An optimized crystal structure of Sm2Ga2Pd (PBE-GGA, Alexandria via LeMat-Bulk).

a = 4.452 Å, b = 5.775 Å, c = 9.851 Å
α = 86.72°, β = 76.94°, γ = 67.33°
Positions (direct):
Ga (0.917, 0.724, 0.442)
Ga (0.632, 0.847, 0.889)
Ga (0.083, 0.276, 0.558)
Ga (0.368, 0.153, 0.111)
Pd (0.382, 0.891, 0.344)
Pd (0.618, 0.109, 0.656)
Sm (0.317, 0.695, 0.670)
Sm (0.926, 0.265, 0.884)
Sm (0.683, 0.305, 0.330)
Sm (0.074, 0.735, 0.116)

Output
Calculated volume in Å³/cell: 227.5
ΔE_f in meV/atom: -734.4
Crystal system: monoclinic
Mass density in g/cm³: 7.98


No. 3
# NdGdNiRu

An optimized crystal structure of NdGdNiRu (PBE-GGA, Alexandria via LeMat-Bulk).

a = 4.905 Å, b = 4.905 Å, c = 4.905 Å
α = 60.00°, β = 60.00°, γ = 60.00°
Site moments in Bohr magnetons follow the coordinates.
Positions (direct):
Gd (0.500, 0.500, 0.500)  7.02
Ru (0.750, 0.750, 0.750)  -0.10
Ni (0.250, 0.250, 0.250)  -0.02
Nd (0.000, 0.000, 0.000)  0.01

Output
Calculated volume in Å³/cell: 83.4
ΔE_f in meV/atom: -242.1
Crystal system: cubic
Mass density in g/cm³: 9.18


No. 4
# GaBr3

An optimized crystal structure of GaBr3 (PBE-GGA, Alexandria via LeMat-Bulk).

a = 13.535 Å, b = 13.535 Å, c = 13.535 Å
α = 13.33°, β = 13.33°, γ = 13.33°
Positions (direct):
Ga (0.000, 0.000, 0.000)
Br (0.935, 0.935, 0.935)
Br (0.500, 0.500, 0.500)
Br (0.065, 0.065, 0.065)

Output
Calculated volume in Å³/cell: 114.7
Crystal system: trigonal
Mass density in g/cm³: 4.48
E_form (uncorrected) in eV per formula unit: 0.83


No. 5
# RbUSnSe3

An optimized crystal structure of RbUSnSe3 (PBE-GGA, Alexandria via LeMat-Bulk).

a = 4.099 Å, b = 9.500 Å, c = 10.800 Å
α = 122.22°, β = 90.00°, γ = 90.00°
Site moments in Bohr magnetons follow the coordinates.
Positions (direct):
U (0.750, 0.283, 0.809)  1.84
U (0.250, 0.717, 0.191)  1.84
Rb (0.750, 0.759, 0.786)  0.00
Rb (0.250, 0.241, 0.214)  0.00
Se (0.250, 0.103, 0.843)  -0.07
Se (0.250, 0.524, 0.875)  -0.07
Se (0.250, 0.672, 0.458)  -0.02
Se (0.750, 0.897, 0.157)  -0.07
Se (0.750, 0.476, 0.125)  -0.07
Se (0.750, 0.328, 0.542)  -0.02
Sn (0.750, 0.880, 0.504)  -0.02
Sn (0.250, 0.120, 0.496)  -0.02

Output
Calculated volume in Å³/cell: 355.7
Crystal system: monoclinic
Mass density in g/cm³: 6.34
E_form (uncorrected) in eV per formula unit: -5.52


No. 6
# Os2SN

An optimized crystal structure of Os2SN (PBE-GGA, Alexandria via LeMat-Bulk).

a = 4.034 Å, b = 4.034 Å, c = 4.034 Å
α = 60.00°, β = 60.00°, γ = 60.00°
Positions (direct):
Os (0.750, 0.750, 0.750)
Os (0.250, 0.250, 0.250)
S (0.500, 0.500, 0.500)
N (0.000, 0.000, 0.000)

Output
Calculated volume in Å³/cell: 46.4
Crystal system: cubic
Energy relative to the lowest polymorph listed for this composition in meV/atom: 751
Mass density in g/cm³: 15.26
E_form (uncorrected) in eV per formula unit: 4.64


No. 7
# Dy3Al9Cu2

An optimized crystal structure of Dy3Al9Cu2 (PBE-GGA, Alexandria via LeMat-Bulk).

a = 4.253 Å, b = 8.154 Å, c = 8.154 Å
α = 75.93°, β = 74.88°, γ = 74.88°
Positions (direct):
Al (0.127, 0.152, 0.593)
Al (0.658, 0.711, 0.972)
Al (0.873, 0.407, 0.848)
Al (0.873, 0.848, 0.407)
Al (0.127, 0.593, 0.152)
Al (0.000, 0.500, 0.500)
Al (0.342, 0.289, 0.028)
Al (0.658, 0.972, 0.711)
Al (0.342, 0.028, 0.289)
Dy (0.313, 0.687, 0.687)
Dy (0.687, 0.313, 0.313)
Dy (0.000, 0.000, 0.000)
Cu (0.500, 0.291, 0.709)
Cu (0.500, 0.709, 0.291)

Output
Calculated volume in Å³/cell: 258.8
ΔE_f in meV/atom: -421.8
Crystal system: orthorhombic
Mass density in g/cm³: 5.50


No. 8
# KCrBr2Cl

An optimized crystal structure of KCrBr2Cl (PBE-GGA, Alexandria via LeMat-Bulk).

a = 5.323 Å, b = 5.323 Å, c = 4.899 Å
α = 90.00°, β = 90.00°, γ = 90.00°
Site moments in Bohr magnetons follow the coordinates.
Positions (direct):
K (0.500, 0.500, 0.500)  0.00
Br (0.000, 0.500, 0.000)  -0.01
Br (0.500, 0.000, 0.000)  -0.01
Cl (0.000, 0.000, 0.500)  -0.01
Cr (0.000, 0.000, 0.000)  3.66

Output
Calculated volume in Å³/cell: 138.8
Crystal system: tetragonal
Mass density in g/cm³: 3.43
E_form (uncorrected) in eV per formula unit: -5.83


No. 9
# BaZrAu

An optimized crystal structure of BaZrAu (PBE-GGA, Alexandria via LeMat-Bulk).

a = 7.102 Å, b = 7.101 Å, c = 3.731 Å
α = 74.78°, β = 74.76°, γ = 30.46°
Positions (direct):
Au (0.041, 0.041, 0.959)
Ba (0.344, 0.344, 0.656)
Zr (0.615, 0.615, 0.385)

Output
Calculated volume in Å³/cell: 91.8
ΔE_f in meV/atom: -133.6
Crystal system: tetragonal
Energy relative to the lowest polymorph listed for this composition in meV/atom: 0
Mass density in g/cm³: 7.70


No. 10
# ZrU2Ir9

An optimized crystal structure of ZrU2Ir9 (PBE-GGA, Alexandria via LeMat-Bulk).

a = 4.028 Å, b = 4.028 Å, c = 12.070 Å
α = 90.00°, β = 90.00°, γ = 90.00°
Positions (direct):
Ir (0.500, 0.000, 0.834)
Ir (0.500, 0.500, 0.668)
Ir (0.500, 0.000, 0.166)
Ir (0.500, 0.500, 0.000)
Ir (0.000, 0.500, 0.166)
Ir (0.500, 0.500, 0.332)
Ir (0.000, 0.500, 0.500)
Ir (0.000, 0.500, 0.834)
Ir (0.500, 0.000, 0.500)
Zr (0.000, 0.000, 0.000)
U (0.000, 0.000, 0.669)
U (0.000, 0.000, 0.331)

Output
Calculated volume in Å³/cell: 195.9
ΔE_f in meV/atom: -679.8
Crystal system: tetragonal
Mass density in g/cm³: 19.47


N(E_F) / states/eV per cell: 16.54; 10.89; 3.58; 2.72; 13.01; 3.52; 3.26; 0.84; 2.61; 7.13
Uncorrected energy / eV per atom: -2.37; -4.87; -8.72; -1.80; -5.37; -7.57; -4.40; -4.35; -4.72; -9.92